BaMoAs (PBE, relaxed); DFT formation energy = 0.02 eV per atom; VASP energy = -5.78 eV/atom; magnetic moment = 0.1 μB per formula unit
1.0
-1.728 1.728 6.122
1.728 -1.728 6.122
1.728 1.728 -6.122
Ba Mo As
1 1 1
Direct
0.000 0.000 0.000
0.292 0.292 0.000
0.719 0.719 0.000